Record 1
Ca2Tl6Cd after structural relaxation. Source: Alexandria via LeMat-Bulk, functional GGA-PBE.

Space group = P4_2/mnm
Energy of formation = -0.18 eV/atom

Cell lengths 4.9371, 10.2659, 10.2653 Å; angles 90.00, 90.00, 90.00 degrees
Last column: nearest neighbours and their distance in Å.
Element x y z (fractional)
Tl  0.5000  0.1647  0.9908  8 Tl 3.38-3.51, 3 Ca 3.42-3.52, 1 Cd 3.44
Tl  0.5000  0.8353  0.0092  8 Tl 3.38-3.51, 3 Ca 3.42-3.52, 1 Cd 3.44
Ca  0.4999  0.8342  0.6658  10 Tl 3.36-3.53, 2 Cd 3.45
Tl  0.9999  0.6615  0.8385  4 Ca 3.36-3.52, 6 Tl 3.38-3.51, 2 Cd 3.40
Ca  0.9999  0.6658  0.1658  10 Tl 3.36-3.53, 2 Cd 3.45
Tl  0.4999  0.8385  0.3385  4 Ca 3.36-3.52, 6 Tl 3.38-3.51, 2 Cd 3.40
Tl  0.5001  0.1615  0.6615  4 Ca 3.36-3.52, 6 Tl 3.38-3.51, 2 Cd 3.40
Tl  0.0001  0.3385  0.1615  4 Ca 3.36-3.52, 6 Tl 3.38-3.51, 2 Cd 3.40
Tl  0.0000  0.9909  0.8353  8 Tl 3.38-3.51, 3 Ca 3.42-3.53, 1 Cd 3.44
Cd  0.5000  0.5000  0.0000  8 Tl 3.40-3.44, 4 Ca 3.45
Tl  0.0000  0.0091  0.1647  8 Tl 3.38-3.51, 3 Ca 3.42-3.53, 1 Cd 3.44
Ca  0.0001  0.3342  0.8342  10 Tl 3.36-3.53, 2 Cd 3.45
Tl  0.0000  0.3353  0.4908  8 Tl 3.38-3.51, 3 Ca 3.42-3.52, 1 Cd 3.44
Tl  0.0000  0.6647  0.5092  8 Tl 3.38-3.51, 3 Ca 3.42-3.52, 1 Cd 3.44
Tl  0.5000  0.4909  0.6647  8 Tl 3.38-3.51, 3 Ca 3.42-3.53, 1 Cd 3.44
Ca  0.5001  0.1658  0.3342  10 Tl 3.36-3.53, 2 Cd 3.45
Cd  0.0000  0.0000  0.5000  8 Tl 3.40-3.44, 4 Ca 3.45
Tl  0.5000  0.5091  0.3353  8 Tl 3.38-3.51, 3 Ca 3.42-3.53, 1 Cd 3.44

***

Record 2
Ca5HAu2 after structural relaxation. Source: Alexandria via LeMat-Bulk, functional GGA-PBE.

Space group = C2/c
DFT total energy = -3.05 eV/atom

Cell lengths 6.7517, 7.7426, 8.9203 Å; angles 96.47, 112.24, 90.00 degrees
Last column: nearest neighbours and their distance in Å.
Element x y z (fractional)
Au  0.6818  0.9266  0.7840  7 Ca 2.99-3.21
Ca  0.5297  0.5722  0.8099  1 H 2.69, 1 Au 2.99
Au  0.8978  0.5734  0.2160  7 Ca 2.99-3.21
Ca  0.0821  0.7500  0.0000  4 Au 3.02-3.09
Ca  0.1576  0.3165  0.4446  2 H 2.57-2.84
Ca  0.9179  0.2500  0.0000  4 Au 3.02-3.09
H  0.5000  0.5000  0.5000  6 Ca 2.57-2.84
Ca  0.8424  0.6835  0.5554  2 H 2.57-2.84
Au  0.3182  0.0734  0.2160  7 Ca 2.99-3.21
Ca  0.7130  0.1835  0.5554  2 H 2.57-2.84
Ca  0.2870  0.8165  0.4446  2 H 2.57-2.84
Ca  0.7198  0.9278  0.1901  1 H 2.69, 1 Au 2.99
Ca  0.4703  0.4278  0.1901  1 H 2.69, 1 Au 2.99
H  0.0000  0.0000  0.5000  6 Ca 2.57-2.84
Ca  0.2802  0.0722  0.8099  1 H 2.69, 1 Au 2.99
Au  0.1022  0.4266  0.7840  7 Ca 2.99-3.21

***

Record 3
Fe2CoW after structural relaxation. Source: Alexandria via LeMat-Bulk, functional GGA-PBE.

Space group = Fm-3m
Energy of formation = 0.13 eV/atom

Cell lengths 4.1359, 4.1359, 4.1359 Å; angles 60.00, 60.00, 60.00 degrees
Last column: nearest neighbours and their distance in Å.
Element x y z (fractional)
W  0.5000  0.5000  0.5000  8 Fe 2.53
Co  0.0000  0.0000  0.0000  8 Fe 2.53
Fe  0.2500  0.2500  0.2500  4 W 2.53, 4 Co 2.53
Fe  0.7500  0.7500  0.7500  4 W 2.53, 4 Co 2.53

***

Record 4
RbInSbPb after structural relaxation. Source: Alexandria via LeMat-Bulk, functional GGA-PBE.

Space group = R3m
Formation energy without anion corrections = -0.08 eV per atom

Cell lengths 5.3173, 5.3173, 7.2408 Å; angles 68.46, 68.46, 60.00 degrees
Last column: nearest neighbours and their distance in Å.
Element x y z (fractional)
Pb  0.2923  0.2923  0.1230  3 In 3.09, 3 Sb 3.29
In  0.6060  0.6060  0.1820  3 Pb 3.09, 3 Sb 3.45
Rb  0.8086  0.8086  0.5742  4 Sb 3.91-4.14, 4 In 3.99-4.00, 3 Pb 4.26
Sb  0.0189  0.0189  0.9432  3 Pb 3.29, 3 In 3.45

***

Record 5
La2CdI2 after structural relaxation. Source: Alexandria via LeMat-Bulk, functional GGA-PBE.

Space group = P4/mbm
Formation energy without anion corrections = -0.69 eV per atom

Cell lengths 9.0062, 9.0062, 4.0930 Å; angles 90.00, 90.00, 90.00 degrees
Last column: nearest neighbours and their distance in Å.
Element x y z (fractional)
I  0.1365  0.6365  0.5000  6 La 3.31-3.37, 1 I 3.48
I  0.3635  0.1365  0.5000  6 La 3.31-3.37, 1 I 3.48
La  0.3407  0.8407  0.0000  6 I 3.31-3.37, 2 Cd 3.39
Cd  0.5000  0.5000  0.0000  4 La 3.39
I  0.6365  0.8635  0.5000  6 La 3.31-3.37, 1 I 3.48
La  0.6593  0.1593  0.0000  6 I 3.31-3.37, 2 Cd 3.39
I  0.8635  0.3635  0.5000  6 La 3.31-3.37, 1 I 3.48
Cd  0.0000  0.0000  0.0000  4 La 3.39
La  0.1593  0.3407  0.0000  6 I 3.31-3.37, 2 Cd 3.39
La  0.8407  0.6593  0.0000  6 I 3.31-3.37, 2 Cd 3.39

***

Record 6
Ac12Nd6Y after structural relaxation. Source: Alexandria via LeMat-Bulk, functional GGA-PBE.

Space group = R-3
Energy of formation = 0.04 eV/atom

Cell lengths 10.2523, 10.2523, 10.2523 Å; angles 110.83, 110.83, 110.83 degrees
Last column: nearest neighbours and their distance in Å.
Element x y z (fractional)
Nd  0.6823  0.5320  0.7846  4 Nd 3.72-3.83, 7 Ac 3.80-4.01, 1 Y 3.84
Ac  0.5833  0.3761  0.0651  4 Nd 3.80-4.01, 8 Ac 3.88-3.95
Ac  0.7379  0.1020  0.1551  1 Y 3.83, 8 Ac 3.83-3.95, 3 Nd 3.89-4.00
Ac  0.3761  0.0651  0.5833  4 Nd 3.80-4.01, 8 Ac 3.88-3.95
Nd  0.7846  0.6823  0.5320  4 Nd 3.72-3.83, 7 Ac 3.80-4.01, 1 Y 3.84
Ac  0.0651  0.5833  0.3761  4 Nd 3.80-4.01, 8 Ac 3.88-3.95
Ac  0.9349  0.4167  0.6239  4 Nd 3.80-4.01, 8 Ac 3.88-3.95
Nd  0.5320  0.7846  0.6823  4 Nd 3.72-3.83, 7 Ac 3.80-4.01, 1 Y 3.84
Ac  0.4167  0.6239  0.9349  4 Nd 3.80-4.01, 8 Ac 3.88-3.95
Ac  0.1551  0.7379  0.1020  1 Y 3.83, 8 Ac 3.83-3.95, 3 Nd 3.89-4.00
Ac  0.6239  0.9349  0.4167  4 Nd 3.80-4.01, 8 Ac 3.88-3.95
Ac  0.2621  0.8980  0.8449  1 Y 3.83, 8 Ac 3.83-3.95, 3 Nd 3.89-4.00
Nd  0.3177  0.4680  0.2154  4 Nd 3.72-3.83, 7 Ac 3.80-4.01, 1 Y 3.84
Nd  0.2154  0.3177  0.4680  4 Nd 3.72-3.83, 7 Ac 3.80-4.01, 1 Y 3.84
Ac  0.1020  0.1551  0.7379  1 Y 3.83, 8 Ac 3.83-3.95, 3 Nd 3.89-4.00
Y  0.0000  0.0000  0.0000  6 Ac 3.83, 6 Nd 3.84
Nd  0.4680  0.2154  0.3177  4 Nd 3.72-3.83, 7 Ac 3.80-4.01, 1 Y 3.84
Ac  0.8449  0.2621  0.8980  1 Y 3.83, 8 Ac 3.83-3.95, 3 Nd 3.89-4.00
Ac  0.8980  0.8449  0.2621  1 Y 3.83, 8 Ac 3.83-3.95, 3 Nd 3.89-4.00

***

Record 7
SrCe3Pa2N6 after structural relaxation. Source: Alexandria via LeMat-Bulk, functional GGA-PBE.

Space group = C2/m
Formation energy without anion corrections = -1.44 eV per atom

Cell lengths 3.5690, 7.1520, 8.0308 Å; angles 102.83, 102.84, 90.00 degrees
Last column: nearest neighbours and their distance in Å.
Element x y z (fractional)
N  0.9825  0.7196  0.9651  1 Pa 2.29, 2 Ce 2.43
N  0.3314  0.4318  0.6628  3 Pa 2.45-2.50, 3 Ce 2.57-2.61
Pa  0.8325  0.6661  0.6650  6 N 2.29-2.50
Ce  0.5000  0.5000  0.0000  6 N 2.43-2.57
Pa  0.1675  0.3339  0.3350  6 N 2.29-2.50
N  0.6686  0.5682  0.3372  3 Pa 2.45-2.50, 3 Ce 2.57-2.61
Ce  0.8324  0.1658  0.6648  5 N 2.45-2.63
N  0.3281  0.8928  0.6562  2 Pa 2.42, 3 Ce 2.45-2.63, 1 Sr 2.63
N  0.6719  0.1072  0.3438  2 Pa 2.42, 3 Ce 2.45-2.63, 1 Sr 2.63
Sr  0.5000  0.0000  0.0000  6 N 2.63-2.65
Ce  0.1676  0.8342  0.3352  5 N 2.45-2.63
N  0.0175  0.2804  0.0349  1 Pa 2.29, 2 Ce 2.43

***

Record 8
Tl3Zn2Ga9 after structural relaxation. Source: Alexandria via LeMat-Bulk, functional GGA-PBE.

Space group = Immm
Energy of formation = 0.05 eV/atom

Cell lengths 4.3129, 8.6490, 8.6490 Å; angles 77.59, 75.56, 75.56 degrees
Last column: nearest neighbours and their distance in Å.
Element x y z (fractional)
Ga  0.1339  0.5845  0.1477  4 Ga 2.74-2.92, 2 Zn 2.76
Tl  0.0000  0.0000  0.0000  12 Ga 3.33-3.50
Ga  0.0000  0.5000  0.5000  4 Ga 2.92, 4 Zn 3.08, 4 Tl 3.23
Ga  0.3354  0.0343  0.2949  4 Ga 2.74-2.82, 1 Zn 2.77
Ga  0.8661  0.4155  0.8523  4 Ga 2.74-2.92, 2 Zn 2.76
Ga  0.8661  0.8523  0.4155  4 Ga 2.74-2.92, 2 Zn 2.76
Zn  0.5000  0.7030  0.2970  8 Ga 2.76-3.08
Tl  0.6886  0.3114  0.3114  10 Ga 3.19-3.28, 2 Zn 3.26
Ga  0.3354  0.2949  0.0343  4 Ga 2.74-2.82, 1 Zn 2.77
Ga  0.1339  0.1477  0.5845  4 Ga 2.74-2.92, 2 Zn 2.76
Tl  0.3114  0.6886  0.6886  10 Ga 3.19-3.28, 2 Zn 3.26
Zn  0.5000  0.2970  0.7030  8 Ga 2.76-3.08
Ga  0.6646  0.7051  0.9657  4 Ga 2.74-2.82, 1 Zn 2.77
Ga  0.6646  0.9657  0.7051  4 Ga 2.74-2.82, 1 Zn 2.77

***

Record 9
BeOs2Rh after structural relaxation. Source: Alexandria via LeMat-Bulk, functional GGA-PBE.

Space group = F-43m
Energy of formation = 0.28 eV/atom

Cell lengths 4.2334, 4.2334, 4.2334 Å; angles 60.00, 60.00, 60.00 degrees
Last column: nearest neighbours and their distance in Å.
Element x y z (fractional)
Be  0.5000  0.5000  0.5000  4 Rh 2.59, 4 Os 2.59
Os  0.0000  0.0000  0.0000  4 Rh 2.59, 4 Os 2.59
Rh  0.7500  0.7500  0.7500  4 Os 2.59, 4 Be 2.59
Os  0.2500  0.2500  0.2500  4 Be 2.59, 4 Os 2.59

***

Record 10
MgScS2 after structural relaxation. Source: Alexandria via LeMat-Bulk, functional GGA-PBE.

Space group = R3m
Formation energy without anion corrections = -1.56 eV per atom

Cell lengths 3.6125, 3.6125, 6.7263 Å; angles 74.42, 74.42, 60.00 degrees
Last column: nearest neighbours and their distance in Å.
Element x y z (fractional)
Sc  0.5000  0.5000  0.5001  6 S 2.66-2.67
Mg  0.6680  0.6680  0.9959  6 S 2.57-2.61
S  0.0794  0.0794  0.7617  3 Mg 2.57, 3 Sc 2.67
S  0.2525  0.2525  0.2424  3 Mg 2.61, 3 Sc 2.66

***

Record 11
CoNiCl3 after structural relaxation. Source: Alexandria via LeMat-Bulk, functional GGA-PBE.

Space group = Pm-3m
Formation energy without anion corrections = 0.21 eV per atom

Cell lengths 4.6209, 4.6209, 4.6209 Å; angles 90.00, 90.00, 90.00 degrees
Last column: nearest neighbours and their distance in Å.
Element x y z (fractional)
Cl  0.5000  0.0000  0.0000  2 Ni 2.31
Cl  0.0000  0.5000  0.0000  2 Ni 2.31
Cl  0.0000  0.0000  0.5000  2 Ni 2.31
Ni  0.0000  0.0000  0.0000  6 Cl 2.31
Co  0.5000  0.5000  0.5000  12 Cl 3.27

***

Record 12
AcDyY after structural relaxation. Source: Alexandria via LeMat-Bulk, functional GGA-PBE.

Space group = P4/nmm
Energy of formation = 0.33 eV/atom

Cell lengths 5.0881, 5.0881, 8.8041 Å; angles 90.00, 90.00, 90.00 degrees
Last column: nearest neighbours and their distance in Å.
Element x y z (fractional)
Y  0.0000  0.5000  0.3099  5 Dy 3.45-3.60, 4 Ac 3.73
Ac  0.0000  0.0000  0.0000  4 Ac 3.60, 4 Dy 3.66, 4 Y 3.73
Dy  0.5000  0.0000  0.2986  5 Y 3.45-3.60, 4 Ac 3.66
Ac  0.5000  0.5000  0.0000  4 Ac 3.60, 4 Dy 3.66, 4 Y 3.73
Dy  0.0000  0.5000  0.7014  5 Y 3.45-3.60, 4 Ac 3.66
Y  0.5000  0.0000  0.6901  5 Dy 3.45-3.60, 4 Ac 3.73

***

Record 13
Ba4Na2N after structural relaxation. Source: Alexandria via LeMat-Bulk, functional GGA-PBE.

Space group = Pnma
Formation energy without anion corrections = -0.18 eV per atom

Cell lengths 8.7088, 11.1215, 15.0976 Å; angles 90.00, 90.00, 90.00 degrees
Last column: nearest neighbours and their distance in Å.
Element x y z (fractional)
Ba  0.9844  0.6876  0.8462  1 N 2.50
N  0.2500  0.2330  0.0775  4 Ba 2.50-2.53
Na  0.2500  0.4836  0.6760  7 Ba 3.99-4.17
N  0.7500  0.2670  0.5775  4 Ba 2.50-2.53
Ba  0.2500  0.8176  0.5766  1 N 2.51
Na  0.7500  0.8679  0.6081  10 Ba 4.16-4.62, 1 N 4.46
Ba  0.7500  0.6824  0.0766  1 N 2.51
Ba  0.5156  0.1876  0.6538  1 N 2.50
Ba  0.7500  0.4936  0.5879  1 N 2.53
Ba  0.2500  0.0064  0.0879  1 N 2.53
Ba  0.0156  0.8124  0.3462  1 N 2.50
Ba  0.7500  0.9936  0.9121  1 N 2.53
Na  0.7500  0.5164  0.3240  7 Ba 3.99-4.17
Na  0.7500  0.3679  0.8919  10 Ba 4.16-4.62, 1 N 4.46
Na  0.2500  0.1321  0.3919  10 Ba 4.16-4.62, 1 N 4.46
Na  0.7500  0.0164  0.1760  7 Ba 3.99-4.17
Ba  0.4844  0.3124  0.1538  1 N 2.50
Ba  0.9844  0.1876  0.6538  1 N 2.50
N  0.2500  0.7330  0.4225  4 Ba 2.50-2.53
Ba  0.2500  0.5064  0.4121  1 N 2.53
Na  0.2500  0.6321  0.1081  10 Ba 4.16-4.62, 1 N 4.46
N  0.7500  0.7670  0.9225  4 Ba 2.50-2.53
Ba  0.0156  0.3124  0.1538  1 N 2.50
Na  0.2500  0.9836  0.8240  7 Ba 3.99-4.17
Ba  0.4844  0.8124  0.3462  1 N 2.50
Ba  0.2500  0.3176  0.9234  1 N 2.51
Ba  0.7500  0.1824  0.4234  1 N 2.51
Ba  0.5156  0.6876  0.8462  1 N 2.50

***

Record 14
BaMnAs after structural relaxation. Source: Alexandria via LeMat-Bulk, functional GGA-PBE.

Space group = F-43m
Energy of formation = -0.06 eV/atom

Cell lengths 5.0467, 5.0467, 5.0467 Å; angles 60.00, 60.00, 60.00 degrees
Last column: nearest neighbours and their distance in Å.
Element x y z (fractional)
Mn  0.5000  0.5000  0.5000  4 As 3.09
As  0.7500  0.7500  0.7500  4 Mn 3.09, 4 Ba 3.09
Ba  0.0000  0.0000  0.0000  4 As 3.09

***

| no. | D(E_F) (states/eV per cell) |
| --- | --- |
| 1 | 9.85 |
| 2 | 8.20 |
| 3 | 5.65 |
| 4 | 2.81 |
| 5 | 10.53 |
| 6 | 35.56 |
| 7 | 11.80 |
| 8 | 4.92 |
| 9 | 3.21 |
| 10 | 1.32 |
| 11 | 12.74 |
| 12 | 9.94 |
| 13 | 21.09 |
| 14 | 2.04 |